1.
A relaxed Hf2TaC2 crystal, computed with PBE.

## Properties
Space-group type: C2/c (15)
Crystal system: monoclinic
Energy of formation from the pure elements in eV/atom: -0.73
Energy in eV per atom: -10.773

Unit cell a=5.644 b=5.644 c=5.553 alpha=98.77 beta=98.77 gamma=121.04
Element x y z (fractional)
C 0.840 0.674 0.999
C 0.326 0.160 0.501
C 0.160 0.326 0.001
C 0.674 0.840 0.499
Hf 0.425 0.575 0.750
Hf 0.253 0.747 0.250
Hf 0.747 0.253 0.750
Hf 0.575 0.425 0.250
Ta 0.062 0.938 0.750
Ta 0.938 0.062 0.250

---

2.
A relaxed HfTaC2 crystal, computed with PBE.

## Properties
Space-group type: P-3m1 (164)
Crystal system: trigonal
Energy of formation from the pure elements in eV/atom: -0.34
Energy in eV per atom: -10.401

Unit cell a=3.206 b=3.206 c=5.627 alpha=90.00 beta=90.00 gamma=120.00
Element x y z (fractional)
Hf 0.000 0.500 0.000
Ta 0.000 0.500 0.500
C 0.333 0.167 0.261
C 0.667 0.833 0.739

---

Question: energy of formation from the pure elements of number 2 (HfTaC2)?
Answer: -0.34 eV/atom

---

Question: Among the records above, which one has the lowest energy of formation from the pure elements?
Answer: Hf2TaC2